No. 1
## Na2SmWN4 (PBE-GGA)

Data for a relaxed Na2SmWN4 crystal.

a b c (Å): 6.186 5.423 5.423
angles (deg): 72.46 55.22 55.22
Site moments in Bohr magnetons follow the coordinates.
Fractional positions:
Sm (0.000, 0.000, 0.000)  -0.01
N (0.666, 0.482, 0.853)  0.17
N (0.000, 0.518, 0.147)  0.17
N (0.334, 0.147, 0.518)  0.17
N (0.000, 0.853, 0.482)  0.17
Na (0.500, 0.250, 0.750)  0.00
Na (0.500, 0.750, 0.250)  0.00
W (0.000, 0.500, 0.500)  -0.06

Output
formation energy without anion corrections = -0.4115 eV/atom

No. 2
## BaIn2Sb2 (PBE-GGA)

Data for a relaxed BaIn2Sb2 crystal.

a b c (Å): 8.848 8.848 4.291
angles (deg): 90.00 90.00 90.00
Fractional positions:
In (0.347, 0.153, 0.500)
In (0.153, 0.653, 0.500)
In (0.653, 0.847, 0.500)
In (0.847, 0.347, 0.500)
Sb (0.118, 0.382, 0.000)
Sb (0.382, 0.882, 0.000)
Sb (0.618, 0.118, 0.000)
Sb (0.882, 0.618, 0.000)
Ba (0.500, 0.500, 0.000)
Ba (0.000, 0.000, 0.000)

Output
formation energy without anion corrections = -0.2856 eV/atom

No. 3
## BeIr2Pb (PBE-GGA)

Data for a relaxed BeIr2Pb crystal.

a b c (Å): 3.631 4.140 4.140
angles (deg): 90.00 90.00 90.00
Fractional positions:
Ir (0.000, 0.500, 0.500)
Ir (0.000, 0.000, 0.000)
Pb (0.500, 0.500, 0.000)
Be (0.500, 0.000, 0.500)

Output
energy of formation from the pure elements = 318 meV/atom
polymorph energy (0 for the lowest one) = 197.2 meV per atom

No. 4
## Al5Pb (PBE-GGA)

Data for a relaxed Al5Pb crystal.

a b c (Å): 3.093 3.093 12.274
angles (deg): 90.00 90.00 90.00
Fractional positions:
Al (0.500, 0.500, 0.649)
Al (0.500, 0.500, 0.351)
Al (0.000, 0.000, 0.500)
Al (0.000, 0.000, 0.793)
Al (0.000, 0.000, 0.207)
Pb (0.500, 0.500, 0.000)

Output
energy of formation from the pure elements = 142 meV/atom
polymorph energy (0 for the lowest one) = 0.0 meV per atom

No. 5
## Ce3RhPb (PBE-GGA)

Data for a relaxed Ce3RhPb crystal.

a b c (Å): 5.388 5.388 5.388
angles (deg): 90.00 90.00 90.00
Site moments in Bohr magnetons follow the coordinates.
Fractional positions:
Pb (0.500, 0.500, 0.500)  -0.04
Ce (0.000, 0.000, 0.500)  0.86
Ce (0.500, 0.000, 0.000)  0.86
Ce (0.000, 0.500, 0.000)  0.86
Rh (0.000, 0.000, 0.000)  -0.05

Output
energy of formation from the pure elements = -325 meV/atom
polymorph energy (0 for the lowest one) = 112.9 meV per atom

No. 6
## PmPuTlRu (PBE-GGA)

Data for a relaxed PmPuTlRu crystal.

a b c (Å): 3.383 3.383 8.531
angles (deg): 90.00 90.00 90.00
Site moments in Bohr magnetons follow the coordinates.
Fractional positions:
Pu (0.500, 0.500, 0.370)  5.10
Ru (0.000, 0.000, 0.560)  -0.58
Tl (0.000, 0.000, 0.078)  -0.05
Pm (0.500, 0.500, 0.777)  0.07

Output
energy of formation from the pure elements = -188 meV/atom
polymorph energy (0 for the lowest one) = 0.0 meV per atom

No. 7
## B2C (PBE-GGA)

Data for a relaxed B2C crystal.

a b c (Å): 3.645 5.198 5.239
angles (deg): 114.76 99.86 79.84
Fractional positions:
B (0.642, 0.318, 0.560)
B (0.208, 0.697, 0.214)
B (0.776, 0.655, 0.728)
B (0.086, 0.350, 0.537)
B (0.832, 0.133, 0.211)
B (0.452, 0.339, 0.033)
B (0.459, 0.849, 0.547)
B (0.995, 0.672, 0.473)
C (0.422, 0.191, 0.697)
C (0.838, 0.796, 0.063)
C (0.628, 0.679, 0.215)
C (0.163, 0.321, 0.222)

Output
energy of formation from the pure elements = 377 meV/atom
polymorph energy (0 for the lowest one) = 191.3 meV per atom

No. 8
## LaTePd2 (PBE-GGA)

Data for a relaxed LaTePd2 crystal.

a b c (Å): 4.532 4.532 10.095
angles (deg): 77.03 77.03 90.00
Fractional positions:
Pd (0.375, 0.413, 0.750)
Pd (0.875, 0.837, 0.750)
Pd (0.587, 0.125, 0.250)
Pd (0.163, 0.625, 0.250)
La (0.000, 0.000, 0.000)
La (0.750, 0.250, 0.500)
Te (0.250, 0.750, 0.500)
Te (0.500, 0.500, 0.000)

Output
formation energy without anion corrections = -0.6700 eV/atom

No. 9
## Ta2ICl (PBE-GGA)

Data for a relaxed Ta2ICl crystal.

a b c (Å): 4.483 4.483 9.212
angles (deg): 75.92 75.92 90.00
Fractional positions:
Ta (0.875, 0.826, 0.750)
Ta (0.174, 0.625, 0.250)
Ta (0.576, 0.125, 0.250)
Ta (0.375, 0.424, 0.750)
I (0.000, 0.000, 0.000)
I (0.750, 0.250, 0.500)
Cl (0.500, 0.500, 0.000)
Cl (0.250, 0.750, 0.500)

Output
formation energy without anion corrections = 0.6005 eV/atom
polymorph energy (0 for the lowest one) = 0.0 meV per atom

No. 10
## Ac3TbGe2N6 (PBE-GGA)

Data for a relaxed Ac3TbGe2N6 crystal.

a b c (Å): 6.108 6.108 6.721
angles (deg): 90.00 90.00 120.00
Site moments in Bohr magnetons follow the coordinates.
Fractional positions:
N (0.174, 0.348, 0.294)  0.06
N (0.652, 0.826, 0.294)  0.06
N (0.826, 0.652, 0.706)  0.06
N (0.174, 0.826, 0.294)  0.06
N (0.348, 0.174, 0.706)  0.06
N (0.826, 0.174, 0.706)  0.06
Tb (0.000, 0.000, 0.500)  0.05
Ge (0.667, 0.333, 0.826)  0.06
Ge (0.333, 0.667, 0.174)  0.06
Ac (0.000, 0.000, 0.000)  0.01
Ac (0.667, 0.333, 0.365)  0.02
Ac (0.333, 0.667, 0.635)  0.02

Output
formation energy without anion corrections = -0.7940 eV/atom

No. 11
## NdTmAsP (PBE-GGA)

Data for a relaxed NdTmAsP crystal.

a b c (Å): 4.128 4.128 5.811
angles (deg): 89.99 90.00 90.00
Fractional positions:
Tm (0.500, 0.391, 0.093)
As (0.500, 0.392, 0.593)
P (0.000, 0.891, 0.092)
Nd (0.000, 0.892, 0.592)

Output
energy of formation from the pure elements = -1488 meV/atom

No. 12
## CdHgAs2 (PBE-GGA)

Data for a relaxed CdHgAs2 crystal.

a b c (Å): 3.186 3.186 10.324
angles (deg): 90.00 90.00 113.05
Fractional positions:
As (0.000, 0.000, 0.041)
As (0.500, 0.500, 0.215)
Hg (0.500, 0.500, 0.758)
Cd (0.000, 0.000, 0.487)

Output
energy of formation from the pure elements = 226 meV/atom
polymorph energy (0 for the lowest one) = 204.0 meV per atom

| no. | size of the total moment (μB/cell) |
| --- | --- |
| 1 | 0.894 |
| 2 | 0.000 |
| 3 | 0.000 |
| 4 | 0.000 |
| 5 | 3.171 |
| 6 | 4.679 |
| 7 | 0.000 |
| 8 | 0.000 |
| 9 | 0.000 |
| 10 | 0.887 |
| 11 | 0.000 |
| 12 | 0.000 |